This record from the Alexandria database describes a relaxed structure of Pd2Pt5. The functional is PBE.

Computed properties:
The value obtained for the total energy is -160.57 eV per cell. As for the spin magnetization: 0.0 μB/cell.

CIF file:
```
data_Pd2Pt5
_chemical_formula_sum 'Pd8 Pt20'
_cell_length_a 30.3316
_cell_length_b 2.7275
_cell_length_c 5.4374
_cell_angle_alpha 90.00
_cell_angle_beta 95.16
_cell_angle_gamma 90.00
_symmetry_space_group_name_H-M 'C 1 2/c 1'
_symmetry_Int_Tables_number 15
loop_
_symmetry_equiv_pos_as_xyz
'x,y,z'
'-x,-y,-z'
'-x,y,-z+1/2'
'x,-y,z+1/2'
'x+1/2,y+1/2,z'
'-x+1/2,-y+1/2,-z'
'-x+1/2,y+1/2,-z+1/2'
'x+1/2,-y+1/2,z+1/2'
loop_
_atom_site_label
_atom_site_type_symbol
_atom_site_fract_x
_atom_site_fract_y
_atom_site_fract_z
Pd1 Pd 0.1426 0.2294 0.3212
Pt1 Pt 0.0000 0.4930 0.2500
Pt2 Pt 0.0687 0.0030 0.0340
Pt3 Pt 0.2156 0.4936 0.6094
```